The following is a DFT calculation (PBE-GGA) of a relaxed Sc4TlOs crystal.

Cell lengths 8.1284, 8.1284, 8.1284 Å; angles 33.58, 33.58, 33.58 degrees
Atoms (fractional coordinates):
Sc: 0.1129 0.1129 0.1129
Sc: 0.3654 0.3654 0.3654
Sc: 0.6346 0.6346 0.6346
Sc: 0.8871 0.8871 0.8871
Tl: 0.5000 0.5000 0.5000
Os: 0.0000 0.0000 0.0000

Output
Its relative energy among the computed polymorphs is 0.154 eV/atom. The calculation puts the calculated volume at 24.39 A^3/atom. The calculation puts the formation energy at -16.5 kJ/mol of atoms. For the total magnetic moment, the calculation gives 0.000 Bohr magnetons per cell. The value obtained for the raw total energy is -6.658 eV per atom.